# CaLaFeCoO6, relaxed, DFT PBE with a Hubbard U
data_CaLaFeCoO6
_chemical_formula_sum 'Ca2 La2 Fe2 Co2 O12'
_symmetry_space_group_name_H-M 'P 1 c 1'
_symmetry_Int_Tables_number 7
_symmetry_space_group_name_Hall 'P -2yc'
_cell_length_a 5.442
_cell_length_b 5.453
_cell_length_c 9.405
_cell_angle_alpha 90.00
_cell_angle_beta 125.24
_cell_angle_gamma 90.00
loop_
_atom_site_label
_atom_site_type_symbol
_atom_site_fract_x
_atom_site_fract_y
_atom_site_fract_z
Ca1 Ca 0.000 0.213 0.000
La1 La 0.514 0.276 0.501
Fe1 Fe 0.259 0.250 0.751
Co1 Co 0.759 0.250 0.251
O1 O 0.067 0.235 0.495
O2 O 0.441 0.261 0.007
O3 O 0.519 0.034 0.285
O4 O 0.588 0.470 0.789
O5 O 0.940 0.026 0.717
O6 O 0.998 0.461 0.211
# V = 228 Å³/cell
# raw total energy = -137.08 eV per cell